No. 1
This record from the Alexandria database describes a geometry-optimized KPuTiS4 structure. The functional is PBE.

a = 6.712 Å, b = 6.643 Å, c = 8.845 Å
α = 90.00°, β = 107.93°, γ = 90.00°
Space group P2_1/m (No. 11)
Symmetry-distinct sites (fractional):
K1 0.225 0.250 0.437 x2
Pu1 0.283 0.250 0.949 x2
Ti1 0.267 0.750 0.173 x2
S1 0.057 0.750 0.923 x2
S2 0.060 0.750 0.331 x2
S3 0.497 0.507 0.793 x4

Output
Its raw formation energy is -1422.4 meV/atom.

=====

No. 2
This record from the Alexandria database describes a geometry-optimized Li5B6C6 structure. The functional is PBE.

a = 14.230 Å, b = 2.721 Å, c = 7.192 Å
α = 90.00°, β = 90.23°, γ = 90.00°
Space group C2/m (No. 12)
Symmetry-distinct sites (fractional):
Li1 0.000 0.000 0.000 x2
Li2 0.155 0.500 0.496 x4
Li3 0.167 0.500 0.996 x4
B1 0.054 0.500 0.750 x4
B2 0.111 0.000 0.242 x4
B3 0.221 0.000 0.747 x4
C1 0.055 0.500 0.237 x4
C2 0.112 0.000 0.750 x4
C3 0.221 0.000 0.250 x4

Output
For the formation energy, the calculation gives -0.2861 eV per atom.

=====

No. 3
This record from the Alexandria database describes a geometry-optimized NpPaCrSe6 structure. The functional is PBE.

a = 6.6771 Å, b = 6.6771 Å, c = 6.2719 Å
α = 90.00°, β = 90.00°, γ = 120.00°
Space group P312 (No. 149)
Symmetry-distinct sites (fractional):
Np1 0.0000 0.0000 0.0000 x1
Pa1 0.6667 0.3333 0.5000 x1
Cr1 0.3333 0.6667 0.0000 x1
Se1 0.0217 0.3609 0.2437 x6

Output
Its raw formation energy is -864.4 meV/atom.

=====

No. 4
This record from the Alexandria database describes a geometry-optimized TbDy2Bi structure. The functional is PBE.

a = 4.0275 Å, b = 4.0275 Å, c = 28.6377 Å
α = 90.00°, β = 90.00°, γ = 120.00°
Space group R3m (No. 160, hexagonal axes)
Symmetry-distinct sites (fractional):
Tb1 0.0000 0.0000 0.0000 x3
Dy1 0.0000 0.0000 0.5702 x3
Dy2 0.0000 0.0000 0.7624 x3
Bi1 0.0000 0.0000 0.1660 x3

Output
For the formation energy, the calculation gives -0.1583 eV per atom.

=====

No. 5
This record from the Alexandria database describes a geometry-optimized U3BeSe6 structure. The functional is PBE.

a = 11.156 Å, b = 13.617 Å, c = 6.650 Å
α = 90.00°, β = 90.00°, γ = 90.00°
Space group Cmc2_1 (No. 36)
Symmetry-distinct sites (fractional):
U1 0.000 0.105 0.000 x4
U2 0.174 0.401 0.100 x8
Be1 0.000 0.297 0.648 x4
Se1 0.000 0.278 0.308 x4
Se2 0.000 0.455 0.773 x4
Se3 0.162 0.034 0.301 x8
Se4 0.165 0.237 0.801 x8

Output
Its raw formation energy is -1023.8 meV/atom.

=====

No. 6
This record from the Alexandria database describes a geometry-optimized SrSi2Pt structure. The functional is PBE.

a = 4.211 Å, b = 6.302 Å, c = 7.077 Å
α = 90.00°, β = 90.00°, γ = 90.00°
Space group Immm (No. 71)
Symmetry-distinct sites (fractional):
Sr1 0.000 0.000 0.000 x2
Si1 0.000 0.500 0.168 x4
Pt1 0.000 0.000 0.500 x2

Output
Its raw formation energy is -430.2 meV/atom.

=====

No. 7
This record from the Alexandria database describes a geometry-optimized LiZr2Ir structure. The functional is PBE.

a = 3.326 Å, b = 3.326 Å, c = 6.526 Å
α = 90.00°, β = 90.00°, γ = 90.00°
Space group P4mm (No. 99)
Symmetry-distinct sites (fractional):
Li1 0.000 0.000 0.000 x1
Zr1 0.000 0.000 0.577 x1
Zr2 0.500 0.500 0.260 x1
Ir1 0.500 0.500 0.817 x1

Output
For the formation energy, the calculation gives -0.2662 eV per atom.

=====

No. 8
This record from the Alexandria database describes a geometry-optimized NpInGaSn structure. The functional is PBE.

a = 4.353 Å, b = 4.586 Å, c = 4.654 Å
α = 90.00°, β = 90.00°, γ = 90.00°
Space group Pmmm (No. 47)
Symmetry-distinct sites (fractional):
Np1 0.000 0.000 0.000 x1
In1 0.000 0.500 0.500 x1
Ga1 0.500 0.500 0.000 x1
Sn1 0.500 0.000 0.500 x1

Output
For the formation energy, the calculation gives -0.1181 eV per atom.

=====

So what do the calculations give for total moment? Going down the list: 10.0; 0.0; 6.0; 2.0; 32.0; 0.0; 0.0; 4.1 μB/cell.